[1]
Here is a relaxed Li3GeAu crystal from Alexandria. Energies are from PBE.

POSCAR file:
```
Li3GeAu
1.0
6.034 0.000 0.000
0.000 4.012 0.000
-0.191 0.000 6.411
Li Ge Au
6 2 2
direct
0.034 0.250 0.325
0.262 0.250 0.763
0.451 0.250 0.162
0.549 0.750 0.838
0.738 0.750 0.237
0.966 0.750 0.675
0.352 0.750 0.457
0.648 0.250 0.543
0.167 0.750 0.064
0.833 0.250 0.936
```

Calculated values
- energy relative to the lowest polymorph listed for this composition (eV/atom) = 0.000
- formation energy from the elements (eV per atom) = -0.4070
- volume (Å³/atom) = 15.520
- total energy (eV/atom) = -3.134
- density of states at the Fermi level (states/eV per cell) = 3.39

***

[2]
Here is a relaxed Li3GeAu6 crystal from Alexandria. Energies are from PBE.

POSCAR file:
```
Li3GeAu6
1.0
5.558 -6.465 0.000
5.558 6.465 0.000
0.000 0.000 4.991
Li Ge Au
6 2 12
direct
0.118 0.882 0.500
0.212 0.383 0.850
0.383 0.212 0.350
0.617 0.788 0.850
0.788 0.617 0.350
0.882 0.118 0.000
0.234 0.766 0.046
0.766 0.234 0.546
0.071 0.193 0.463
0.083 0.516 0.302
0.193 0.071 0.963
0.335 0.665 0.625
0.448 0.552 0.150
0.484 0.917 0.302
0.516 0.083 0.802
0.552 0.448 0.650
0.665 0.335 0.125
0.807 0.929 0.463
0.917 0.484 0.802
0.929 0.807 0.963
```

Calculated values
- energy relative to the lowest polymorph listed for this composition (eV/atom) = 0.061
- formation energy from the elements (eV per atom) = -0.2904
- volume (Å³/atom) = 17.937
- total energy (eV/atom) = -3.293
- density of states at the Fermi level (states/eV per cell) = 6.46

***

[3]
Here is a relaxed Li4Ge3Au crystal from Alexandria. Energies are from PBE.

POSCAR file:
```
Li4Ge3Au
1.0
3.001 0.000 0.000
0.000 4.333 0.000
0.000 0.000 10.261
Li Ge Au
4 3 1
direct
0.000 0.000 0.000
0.000 0.500 0.321
0.500 0.000 0.493
0.500 0.500 0.826
0.000 0.000 0.734
0.000 0.500 0.588
0.500 0.500 0.087
0.500 0.000 0.231
```

Calculated values
- formation energy from the elements (eV per atom) = -0.3111
- volume (Å³/atom) = 16.680
- total energy (eV/atom) = -3.409
- density of states at the Fermi level (states/eV per cell) = 1.89

***

[4]
Here is a relaxed Li5Ge2Au5 crystal from Alexandria. Energies are from PBE.

POSCAR file:
```
Li5Ge2Au5
1.0
3.877 -2.243 0.000
3.877 2.243 0.000
-2.601 0.000 11.806
Li Ge Au
5 2 5
direct
0.000 0.000 0.000
0.195 0.195 0.587
0.275 0.275 0.830
0.725 0.725 0.170
0.805 0.805 0.413
0.430 0.430 0.284
0.570 0.570 0.716
0.098 0.098 0.291
0.353 0.353 0.061
0.500 0.500 0.500
0.647 0.647 0.939
0.902 0.902 0.709
```

Calculated values
- formation energy from the elements (eV per atom) = -0.4606
- volume (Å³/atom) = 17.112
- total energy (eV/atom) = -3.393
- density of states at the Fermi level (states/eV per cell) = 2.69

***

[5]
Here is a relaxed Li5GeAu2 crystal from Alexandria. Energies are from PBE.

POSCAR file:
```
Li5GeAu2
1.0
4.500 0.000 0.000
0.000 4.500 0.000
0.000 0.000 12.087
Li Ge Au
10 2 4
direct
0.000 0.000 0.000
0.000 0.500 0.128
0.000 0.500 0.372
0.000 0.500 0.628
0.000 0.500 0.872
0.500 0.000 0.128
0.500 0.000 0.372
0.500 0.000 0.628
0.500 0.000 0.872
0.500 0.500 0.500
0.000 0.000 0.500
0.500 0.500 0.000
0.000 0.000 0.252
0.000 0.000 0.748
0.500 0.500 0.248
0.500 0.500 0.752
```

Calculated values
- formation energy from the elements (eV per atom) = -0.4273
- volume (Å³/atom) = 15.296
- total energy (eV/atom) = -3.020
- density of states at the Fermi level (states/eV per cell) = 4.44

***

[6]
Here is a relaxed Li4GeAu3 crystal from Alexandria. Energies are from PBE.

POSCAR file:
```
Li4GeAu3
1.0
21.699 0.000 0.000
0.000 3.181 0.000
-0.742 0.000 4.006
Li Ge Au
8 2 6
direct
0.102 0.000 0.101
0.219 0.000 0.220
0.281 0.500 0.780
0.398 0.500 0.899
0.602 0.500 0.101
0.719 0.500 0.220
0.781 0.000 0.780
0.898 0.000 0.899
0.000 0.000 0.500
0.500 0.500 0.500
0.000 0.500 0.000
0.157 0.500 0.656
0.343 0.000 0.344
0.500 0.000 0.000
0.657 0.000 0.656
0.843 0.500 0.344
```

Calculated values
- energy relative to the lowest polymorph listed for this composition (eV/atom) = 0.175
- formation energy from the elements (eV per atom) = -0.3005
- volume (Å³/atom) = 17.281
- total energy (eV/atom) = -3.064
- density of states at the Fermi level (states/eV per cell) = 5.13

***

[7]
Here is a relaxed LiGe2Au2 crystal from Alexandria. Energies are from PBE.

POSCAR file:
```
LiGe2Au2
1.0
7.584 0.000 0.000
0.000 7.584 0.000
0.000 0.000 3.324
Li Ge Au
2 4 4
direct
0.000 0.000 0.000
0.500 0.500 0.000
0.136 0.364 0.000
0.364 0.864 0.000
0.636 0.136 0.000
0.864 0.636 0.000
0.167 0.667 0.500
0.333 0.167 0.500
0.667 0.833 0.500
0.833 0.333 0.500
```

Calculated values
- energy relative to the lowest polymorph listed for this composition (eV/atom) = 0.046
- formation energy from the elements (eV per atom) = -0.0719
- volume (Å³/atom) = 19.116
- total energy (eV/atom) = -3.613
- density of states at the Fermi level (states/eV per cell) = 5.49

***

[8]
Here is a relaxed Li2GeAu2 crystal from Alexandria. Energies are from PBE.

POSCAR file:
```
Li2GeAu2
1.0
7.295 0.000 0.000
0.000 7.295 0.000
0.000 0.000 3.102
Li Ge Au
4 2 4
direct
0.155 0.345 0.000
0.345 0.845 0.000
0.655 0.155 0.000
0.845 0.655 0.000
0.000 0.000 0.500
0.500 0.500 0.500
0.144 0.644 0.500
0.356 0.144 0.500
0.644 0.856 0.500
0.856 0.356 0.500
```

Calculated values
- energy relative to the lowest polymorph listed for this composition (eV/atom) = 0.043
- formation energy from the elements (eV per atom) = -0.3651
- volume (Å³/atom) = 16.507
- total energy (eV/atom) = -3.365
- density of states at the Fermi level (states/eV per cell) = 2.46

***

[9]
Here is a relaxed Li2GeAu4 crystal from Alexandria. Energies are from PBE.

POSCAR file:
```
Li2GeAu4
1.0
5.776 0.000 0.000
0.000 5.776 0.000
0.000 0.000 7.465
Li Ge Au
4 2 8
direct
0.000 0.500 0.000
0.000 0.500 0.500
0.500 0.000 0.000
0.500 0.000 0.500
0.000 0.000 0.000
0.500 0.500 0.500
0.250 0.250 0.250
0.250 0.250 0.750
0.250 0.750 0.250
0.250 0.750 0.750
0.750 0.250 0.250
0.750 0.250 0.750
0.750 0.750 0.250
0.750 0.750 0.750
```

Calculated values
- energy relative to the lowest polymorph listed for this composition (eV/atom) = 0.000
- formation energy from the elements (eV per atom) = -0.3027
- volume (Å³/atom) = 17.789
- total energy (eV/atom) = -3.382
- density of states at the Fermi level (states/eV per cell) = 3.36

***

[10]
Here is a relaxed Li2GeAu5 crystal from Alexandria. Energies are from PBE.

POSCAR file:
```
Li2GeAu5
1.0
2.327 -5.836 0.000
2.327 5.836 0.000
0.000 0.000 10.638
Li Ge Au
4 2 10
direct
0.208 0.792 0.575
0.208 0.792 0.925
0.792 0.208 0.075
0.792 0.208 0.425
0.254 0.746 0.250
0.746 0.254 0.750
0.050 0.950 0.116
0.050 0.950 0.384
0.364 0.636 0.750
0.403 0.597 0.075
0.403 0.597 0.425
0.597 0.403 0.575
0.597 0.403 0.925
0.636 0.364 0.250
0.950 0.050 0.616
0.950 0.050 0.884
```

Calculated values
- energy relative to the lowest polymorph listed for this composition (eV/atom) = 0.065
- formation energy from the elements (eV per atom) = -0.2642
- volume (Å³/atom) = 18.062
- total energy (eV/atom) = -3.368
- density of states at the Fermi level (states/eV per cell) = 3.96

***

[11]
Here is a relaxed Li4GeAu3 crystal from Alexandria. Energies are from PBE.

POSCAR file:
```
Li4GeAu3
1.0
3.241 0.000 0.000
0.000 3.241 0.000
0.000 0.000 11.612
Li Ge Au
4 1 3
direct
0.000 0.000 0.125
0.000 0.000 0.374
0.000 0.000 0.626
0.000 0.000 0.875
0.500 0.500 0.500
0.500 0.500 0.000
0.500 0.500 0.253
0.500 0.500 0.747
```

Calculated values
- energy relative to the lowest polymorph listed for this composition (eV/atom) = 0.000
- formation energy from the elements (eV per atom) = -0.4753
- volume (Å³/atom) = 15.246
- total energy (eV/atom) = -3.238
- density of states at the Fermi level (states/eV per cell) = 1.40

***

- What is the total energy in the seventh record?
  -3.613 eV/atom